Entry 1:
First-principles (PBE) data for a relaxed structure of Zr2PSe, as listed in the Alexandria database.

Properties
Relative energy among the computed polymorphs in meV/atom: 146
Density in g/cm³: 6.1
DOS(E_F) in states/eV/f.u.: 2.34
SG: P4mm
ΔE_f (raw) in eV per atom: -1.19

Cell: 3.6636 3.6636 5.8923 Å, 90.00 90.00 90.00°
Fractional coordinates of all 4 atoms:
Se1 0.5000 0.5000 0.8154
Zr1 0.0000 0.0000 0.9575
Zr2 0.5000 0.5000 0.3074
P1 0.0000 0.0000 0.4197

***

Entry 2:
First-principles (PBE) data for a relaxed structure of NpTi2Zn, as listed in the Alexandria database.

Properties
Relative energy among the computed polymorphs in meV/atom: 185
Density in g/cm³: 9.4
E_form in eV per atom: 0.25
DOS(E_F) in states/eV/f.u.: 10.12
SG: Fm-3m

Cell: 4.6407 4.6407 4.6407 Å, 60.00 60.00 60.00°
Fractional coordinates of all 4 atoms:
Np1 0.0000 0.0000 0.0000
Ti1 0.7500 0.7500 0.7500
Ti2 0.2500 0.2500 0.2500
Zn1 0.5000 0.5000 0.5000

***

Which value of DOS(E_F) does entry 1 give? 2.34 states/eV/f.u.

***

Which value of DOS(E_F) does entry 1 give? 2.34 states/eV/f.u.

***

DOS(E_F) of number 1 (Zr2PSe)? 2.34 states/eV/f.u.

***

What is the relative energy among the computed polymorphs in the second record? 185 meV/atom